No. 1
# Co2CuBi2

A relaxed Co2CuBi2 crystal (GGA-PBE, the Alexandria database).

The energy relative to the elements is 0.3935 eV per atom.

Lattice parameters (Å, degrees): 6.824 6.824 3.834 90.00 90.00 90.00
Each line ends with the local moment (μB).
Element x y z (fractional)
Bi: 0.326 0.174 0.500  -0.03
Bi: 0.674 0.826 0.500  -0.03
Bi: 0.174 0.674 0.500  -0.04
Bi: 0.826 0.326 0.500  -0.04
Cu: 0.500 0.500 0.000  0.00
Cu: 0.000 0.000 0.000  0.00
Co: 0.871 0.629 0.000  1.02
Co: 0.629 0.129 0.000  0.98
Co: 0.371 0.871 0.000  0.98
Co: 0.129 0.371 0.000  1.02

---

No. 2
# CsGaIr3

A relaxed CsGaIr3 crystal (GGA-PBE, the Alexandria database).

The energy relative to the elements is 1.3449 eV per atom. Its distance to the lowest polymorph of the same formula is 0.00 eV/f.u.

Lattice parameters (Å, degrees): 4.795 4.795 4.795 90.00 90.00 90.00
Element x y z (fractional)
Ir: 0.000 0.500 0.000
Ir: 0.000 0.000 0.500
Ir: 0.500 0.000 0.000
Ga: 0.000 0.000 0.000
Cs: 0.500 0.500 0.500

---

Copy entry 2 word for word.
# CsGaIr3

A relaxed CsGaIr3 crystal (GGA-PBE, the Alexandria database).

The energy relative to the elements is 1.3449 eV per atom. Its distance to the lowest polymorph of the same formula is 0.00 eV/f.u.

Lattice parameters (Å, degrees): 4.795 4.795 4.795 90.00 90.00 90.00
Element x y z (fractional)
Ir: 0.000 0.500 0.000
Ir: 0.000 0.000 0.500
Ir: 0.500 0.000 0.000
Ga: 0.000 0.000 0.000
Cs: 0.500 0.500 0.500

---

Which value of energy relative to the elements does entry 2 give? 1.3449 eV per atom

---

Look up the energy relative to the elements of the first one. 0.3935 eV per atom

---

Please write out number 1 again, unchanged.
# Co2CuBi2

A relaxed Co2CuBi2 crystal (GGA-PBE, the Alexandria database).

The energy relative to the elements is 0.3935 eV per atom.

Lattice parameters (Å, degrees): 6.824 6.824 3.834 90.00 90.00 90.00
Each line ends with the local moment (μB).
Element x y z (fractional)
Bi: 0.326 0.174 0.500  -0.03
Bi: 0.674 0.826 0.500  -0.03
Bi: 0.174 0.674 0.500  -0.04
Bi: 0.826 0.326 0.500  -0.04
Cu: 0.500 0.500 0.000  0.00
Cu: 0.000 0.000 0.000  0.00
Co: 0.871 0.629 0.000  1.02
Co: 0.629 0.129 0.000  0.98
Co: 0.371 0.871 0.000  0.98
Co: 0.129 0.371 0.000  1.02